Record 1
First-principles (PBE) data for an optimized crystal structure of AcAl5Cu3, as listed in the Alexandria database.

```
18
Lattice="-0.0981 1.2928 3.8139 -6.2172 0.1820 -2.3489 -1.8572 -11.9183 3.9921" Properties=species:S:1:pos:R:3 pbc="T T T"
Ac -5.6864 -7.7312 4.6016
Ac -2.4861 -2.7123 0.8554
Al -4.6388 -4.0323 3.3748
Al -4.2192 -10.8096 3.5555
Al -0.9286 -5.9592 1.9961
Al 0.0000 0.0000 0.0000
Al -5.8389 -1.0373 0.2014
Al -2.3337 -9.4063 5.2557
Al -1.9575 -6.9924 4.4471
Al -3.9534 0.3660 1.9015
Al -3.5338 -6.4113 2.0823
Al -6.2150 -3.4511 1.0099
Cu -6.6545 -10.7739 3.4808
Cu -5.2213 -1.7108 2.5729
Cu -5.8817 -5.8145 1.8196
Cu -2.2909 -4.6290 3.6374
Cu -2.9512 -8.7327 2.8842
Cu -1.5180 0.3304 1.9763
```

Summary:
Density of states at the Fermi level, states/eV per cell: 4.29
Final energy, Ry per atom: -0.310
Formation energy, meV per atom: -323.1

---

Record 2
First-principles (PBE) data for an optimized crystal structure of Ac2Al5Cu3, as listed in the Alexandria database.

```
20
Lattice="-3.4971 0.8933 5.0624 -5.0688 -6.9677 1.5459 3.5875 -3.8775 6.9804" Properties=species:S:1:pos:R:3 pbc="T T T"
Ac -3.2159 -4.7233 2.4299
Ac -0.5262 -2.6922 7.7475
Ac -1.7625 -5.2285 11.1589
Ac -4.4522 -7.2596 5.8413
Al 0.9859 -5.2306 9.2399
Al -7.2289 -7.0923 7.7116
Al -5.9643 -4.7212 4.3489
Al 2.2505 -2.8595 5.8772
Al -2.8868 -7.5284 8.8791
Al -2.0916 -2.4234 4.7097
Al -3.3635 -4.7526 8.0600
Al -1.6149 -5.1992 5.5288
Al -3.8402 -1.9768 7.2409
Al -1.1382 -7.9751 6.3479
Cu -1.1119 -5.9856 7.9240
Cu -5.1292 -6.3489 9.0309
Cu -3.8665 -3.9662 5.6648
Cu 0.1508 -3.6030 4.5579
Cu -0.8743 0.2233 1.2656
Cu -2.6228 0.6700 3.7968
```

Summary:
Density of states at the Fermi level, states/eV per cell: 11.34
Final energy, Ry per atom: -0.316
Formation energy, meV per atom: -375.6

---

Record 3
First-principles (PBE) data for an optimized crystal structure of Ac3Al4Cu4, as listed in the Alexandria database.

```
11
Lattice="4.2330 -0.0095 0.6679 -0.0553 4.7115 0.3389 0.1109 0.5052 12.7886" Properties=species:S:1:pos:R:3 pbc="T T T"
Ac 2.8181 0.8128 9.4331
Ac 1.4703 4.3946 4.3624
Ac 4.3439 0.4958 13.4564
Al 2.4080 2.9560 11.9832
Al 1.8805 2.2514 1.8121
Al 3.3602 2.0020 6.0927
Al 0.9283 3.2053 7.7027
Cu 0.5029 3.0626 10.3191
Cu 1.0840 0.9451 6.7461
Cu 3.2044 4.2622 7.0498
Cu 3.7857 2.1447 3.4761
```

Summary:
Density of states at the Fermi level, states/eV per cell: 9.67
Final energy, Ry per atom: -0.313
Formation energy, meV per atom: -293.4

---

Record 4
First-principles (PBE) data for an optimized crystal structure of Ac2Al5Cu4, as listed in the Alexandria database.

```
11
Lattice="5.4889 0.0000 0.0000 2.7445 6.4718 -0.3989 2.7445 1.2185 6.2194" Properties=species:S:1:pos:R:3 pbc="T T T"
Ac 5.4889 5.8460 3.8299
Ac 5.4889 1.8443 1.9906
Al 4.1192 2.6670 5.0480
Al 6.8586 5.0232 0.7725
Al 2.7445 3.8451 2.9102
Al 6.8586 2.6670 5.0480
Al 4.1192 5.0232 0.7725
Cu 2.7445 0.6296 1.0728
Cu 8.2334 7.0607 4.7477
Cu 8.2334 4.7097 5.4315
Cu 2.7445 2.9806 0.3890
```

Summary:
Density of states at the Fermi level, states/eV per cell: 4.45
Final energy, Ry per atom: -0.310
Formation energy, meV per atom: -281.2

---

Record 5
First-principles (PBE) data for an optimized crystal structure of AcAl4Cu, as listed in the Alexandria database.

```
6
Lattice="-3.0627 -3.3564 1.3782 1.9575 -0.0099 4.3258 -3.7331 4.1038 1.6986" Properties=species:S:1:pos:R:3 pbc="T T T"
Ac -1.8665 2.0519 0.8493
Al -3.2761 1.3109 4.0913
Al -1.5621 -0.5734 3.3114
Al -1.5313 -1.6782 0.6891
Al 0.9788 -0.0049 2.1629
Cu 0.0000 0.0000 0.0000
```

Summary:
Density of states at the Fermi level, states/eV per cell: 2.43
Final energy, Ry per atom: -0.291
Formation energy, meV per atom: -100.8

---

Record 6
First-principles (PBE) data for an optimized crystal structure of Ac3Al6Cu5, as listed in the Alexandria database.

```
28
Lattice="4.2022 0.0000 0.0000 0.0000 11.1932 0.0000 0.0000 0.0000 12.4410" Properties=species:S:1:pos:R:3 pbc="T T T"
Ac 0.0000 2.7337 8.1512
Ac 2.1011 8.4595 1.9307
Ac 2.1011 8.4595 10.5103
Ac 0.0000 2.8677 0.0000
Ac 2.1011 8.3255 6.2205
Ac 0.0000 2.7337 4.2898
Al 0.0000 0.1075 10.3124
Al 2.1011 11.0857 8.3492
Al 2.1011 4.7201 9.9751
Al 2.1011 5.6573 0.0000
Al 0.0000 5.5359 6.2205
Al 0.0000 6.4732 8.6865
Al 0.0000 6.4732 3.7546
Al 2.1011 0.1754 0.0000
Al 0.0000 0.1075 2.1287
Al 2.1011 4.7201 2.4660
Al 0.0000 11.0179 6.2205
Al 2.1011 11.0857 4.0919
Cu 0.0000 5.8604 11.1129
Cu 0.0000 9.6125 8.3596
Cu 0.0000 10.0442 0.0000
Cu 2.1011 5.3329 7.5486
Cu 2.1011 1.1490 6.2205
Cu 0.0000 5.8604 1.3281
Cu 2.1011 5.3329 4.8924
Cu 0.0000 9.6125 4.0814
Cu 2.1011 1.5807 10.3020
Cu 2.1011 1.5807 2.1391
```

Summary:
Density of states at the Fermi level, states/eV per cell: 17.84
Final energy, Ry per atom: -0.313
Formation energy, meV per atom: -307.5

---

> What is the formula in the sixth record?

Ac3Al6Cu5

---

> Among the records above, which one has the highest density of states at the Fermi level?

Ac3Al6Cu5